# 1
VASP calculation (PBE-GGA) on a relaxed CoSiAs2 crystal.

Summary:
* V: 18.514 Å³ per atom
* raw formation energy: -0.010 eV per atom

The structure in CIF format:
```
data_CoSiAs2
_chemical_formula_sum 'Co1 Si1 As2'
_symmetry_space_group_name_H-M 'P 1'
_symmetry_Int_Tables_number 1
_symmetry_space_group_name_Hall 'P 1'
_cell_length_a 3.390
_cell_length_b 3.390
_cell_length_c 6.444
_cell_angle_alpha 90.00
_cell_angle_beta 90.00
_cell_angle_gamma 90.00
loop_
_atom_site_label
_atom_site_type_symbol
_atom_site_fract_x
_atom_site_fract_y
_atom_site_fract_z
Co1 Co 0.000 0.000 0.000
Si1 Si 0.500 0.500 0.000
As1 As 0.000 0.500 0.280
As2 As 0.500 0.000 0.720
```

***

# 2
VASP calculation (PBE-GGA) on a relaxed ZnBTe3 crystal.

Summary:
* polymorph energy (0 for the lowest one): 539 meV per atom
* V: 29.654 Å³ per atom
* raw formation energy: 1.255 eV per atom

The structure in CIF format:
```
data_ZnBTe3
_chemical_formula_sum 'Zn1 B1 Te3'
_symmetry_space_group_name_H-M 'P 1'
_symmetry_Int_Tables_number 1
_symmetry_space_group_name_Hall 'P 1'
_cell_length_a 5.293
_cell_length_b 5.293
_cell_length_c 5.293
_cell_angle_alpha 90.00
_cell_angle_beta 90.00
_cell_angle_gamma 90.00
loop_
_atom_site_label
_atom_site_type_symbol
_atom_site_fract_x
_atom_site_fract_y
_atom_site_fract_z
Zn1 Zn 0.000 0.000 0.000
B1 B 0.500 0.500 0.500
Te1 Te 0.000 0.000 0.500
Te2 Te 0.000 0.500 0.000
Te3 Te 0.500 0.000 0.000
```

***

# 3
VASP calculation (PBE-GGA) on a relaxed ZrCr2Br crystal.

Summary:
* polymorph energy (0 for the lowest one): 601 meV per atom
* V: 17.540 Å³ per atom
* raw formation energy: 0.672 eV per atom

The structure in CIF format:
```
data_ZrCr2Br
_chemical_formula_sum 'Zr1 Cr2 Br1'
_symmetry_space_group_name_H-M 'P 1'
_symmetry_Int_Tables_number 1
_symmetry_space_group_name_Hall 'P 1'
_cell_length_a 4.569
_cell_length_b 4.569
_cell_length_c 3.361
_cell_angle_alpha 90.00
_cell_angle_beta 90.00
_cell_angle_gamma 90.00
loop_
_atom_site_label
_atom_site_type_symbol
_atom_site_fract_x
_atom_site_fract_y
_atom_site_fract_z
Zr1 Zr 0.000 0.000 0.000
Cr1 Cr 0.000 0.500 0.500
Cr2 Cr 0.500 0.000 0.500
Br1 Br 0.500 0.500 0.000
```

***

# 4
VASP calculation (PBE-GGA) on a relaxed Pr3Hg5I12 crystal.

Summary:
* V: 43.725 Å³ per atom
* raw formation energy: -0.596 eV per atom

The structure in CIF format:
```
data_Pr3Hg5I12
_chemical_formula_sum 'Pr12 Hg20 I48'
_symmetry_space_group_name_H-M 'P 1'
_symmetry_Int_Tables_number 1
_symmetry_space_group_name_Hall 'P 1'
_cell_length_a 16.563
_cell_length_b 16.563
_cell_length_c 16.563
_cell_angle_alpha 109.47
_cell_angle_beta 109.47
_cell_angle_gamma 109.47
loop_
_atom_site_label
_atom_site_type_symbol
_atom_site_fract_x
_atom_site_fract_y
_atom_site_fract_z
Pr1 Pr 0.125 0.250 0.375
Pr2 Pr 0.125 0.375 0.750
Pr3 Pr 0.250 0.375 0.125
Pr4 Pr 0.250 0.875 0.625
Pr5 Pr 0.375 0.125 0.250
Pr6 Pr 0.375 0.750 0.125
Pr7 Pr 0.625 0.250 0.875
Pr8 Pr 0.625 0.875 0.750
Pr9 Pr 0.750 0.125 0.375
Pr10 Pr 0.750 0.625 0.875
Pr11 Pr 0.875 0.625 0.250
Pr12 Pr 0.875 0.750 0.625
Hg1 Hg 0.000 0.000 0.000
Hg2 Hg 0.000 0.000 0.500
Hg3 Hg 0.000 0.500 0.000
Hg4 Hg 0.000 0.500 0.500
Hg5 Hg 0.125 0.750 0.875
Hg6 Hg 0.125 0.875 0.250
Hg7 Hg 0.250 0.125 0.875
Hg8 Hg 0.250 0.625 0.375
Hg9 Hg 0.375 0.250 0.625
Hg10 Hg 0.375 0.625 0.750
Hg11 Hg 0.500 0.000 0.000
Hg12 Hg 0.500 0.000 0.500
Hg13 Hg 0.500 0.500 0.000
Hg14 Hg 0.500 0.500 0.500
Hg15 Hg 0.625 0.375 0.250
Hg16 Hg 0.625 0.750 0.375
Hg17 Hg 0.750 0.375 0.625
Hg18 Hg 0.750 0.875 0.125
Hg19 Hg 0.875 0.125 0.750
Hg20 Hg 0.875 0.250 0.125
I1 I 0.063 0.233 0.130
I2 I 0.063 0.330 0.933
I3 I 0.067 0.630 0.397
I4 I 0.067 0.937 0.670
I5 I 0.103 0.733 0.670
I6 I 0.103 0.870 0.433
I7 I 0.130 0.063 0.233
I8 I 0.130 0.567 0.897
I9 I 0.170 0.233 0.603
I10 I 0.170 0.437 0.567
I11 I 0.233 0.130 0.063
I12 I 0.233 0.603 0.170
I13 I 0.267 0.330 0.897
I14 I 0.267 0.437 0.370
I15 I 0.330 0.897 0.267
I16 I 0.330 0.933 0.063
I17 I 0.370 0.267 0.437
I18 I 0.370 0.603 0.933
I19 I 0.397 0.067 0.630
I20 I 0.397 0.830 0.767
I21 I 0.433 0.103 0.870
I22 I 0.433 0.830 0.563
I23 I 0.437 0.370 0.267
I24 I 0.437 0.567 0.170
I25 I 0.563 0.433 0.830
I26 I 0.563 0.630 0.733
I27 I 0.567 0.170 0.437
I28 I 0.567 0.897 0.130
I29 I 0.603 0.170 0.233
I30 I 0.603 0.933 0.370
I31 I 0.630 0.397 0.067
I32 I 0.630 0.733 0.563
I33 I 0.670 0.067 0.937
I34 I 0.670 0.103 0.733
I35 I 0.733 0.563 0.630
I36 I 0.733 0.670 0.103
I37 I 0.767 0.397 0.830
I38 I 0.767 0.870 0.937
I39 I 0.830 0.563 0.433
I40 I 0.830 0.767 0.397
I41 I 0.870 0.433 0.103
I42 I 0.870 0.937 0.767
I43 I 0.897 0.130 0.567
I44 I 0.897 0.267 0.330
I45 I 0.933 0.063 0.330
I46 I 0.933 0.370 0.603
I47 I 0.937 0.670 0.067
I48 I 0.937 0.767 0.870
```

***

# 5
VASP calculation (PBE-GGA) on a relaxed RbAl2B crystal.

Summary:
* V: 27.068 Å³ per atom
* energy of formation: 0.5383 eV/atom

The structure in CIF format:
```
data_RbAl2B
_chemical_formula_sum 'Rb4 Al8 B4'
_symmetry_space_group_name_H-M 'P 1'
_symmetry_Int_Tables_number 1
_symmetry_space_group_name_Hall 'P 1'
_cell_length_a 6.723
_cell_length_b 6.723
_cell_length_c 9.582
_cell_angle_alpha 90.00
_cell_angle_beta 90.00
_cell_angle_gamma 90.00
loop_
_atom_site_label
_atom_site_type_symbol
_atom_site_fract_x
_atom_site_fract_y
_atom_site_fract_z
Rb1 Rb 0.000 0.250 0.375
Rb2 Rb 0.000 0.750 0.625
Rb3 Rb 0.500 0.250 0.125
Rb4 Rb 0.500 0.750 0.875
Al1 Al 0.000 0.000 0.000
Al2 Al 0.000 0.500 0.000
Al3 Al 0.250 0.250 0.750
Al4 Al 0.250 0.750 0.250
Al5 Al 0.500 0.000 0.500
Al6 Al 0.500 0.500 0.500
Al7 Al 0.750 0.250 0.750
Al8 Al 0.750 0.750 0.250
B1 B 0.000 0.250 0.875
B2 B 0.000 0.750 0.125
B3 B 0.500 0.250 0.625
B4 B 0.500 0.750 0.375
```

***

# 6
VASP calculation (PBE-GGA) on a relaxed FeOsRu2 crystal.

Summary:
* V: 13.997 Å³ per atom
* energy of formation: 0.4322 eV/atom

The structure in CIF format:
```
data_FeOsRu2
_chemical_formula_sum 'Fe2 Os2 Ru4'
_symmetry_space_group_name_H-M 'P 1'
_symmetry_Int_Tables_number 1
_symmetry_space_group_name_Hall 'P 1'
_cell_length_a 2.770
_cell_length_b 4.519
_cell_length_c 8.946
_cell_angle_alpha 90.00
_cell_angle_beta 90.00
_cell_angle_gamma 90.00
loop_
_atom_site_label
_atom_site_type_symbol
_atom_site_fract_x
_atom_site_fract_y
_atom_site_fract_z
Fe1 Fe 0.000 0.000 0.000
Fe2 Fe 0.500 0.500 0.000
Os1 Os 0.000 0.500 0.243
Os2 Os 0.500 0.000 0.243
Ru1 Ru 0.000 0.000 0.502
Ru2 Ru 0.000 0.500 0.759
Ru3 Ru 0.500 0.000 0.759
Ru4 Ru 0.500 0.500 0.502
```

***

# 7
VASP calculation (PBE-GGA) on a relaxed Sn4SbAs2 crystal.

Summary:
* V: 31.279 Å³ per atom
* raw formation energy: -0.007 eV per atom

The structure in CIF format:
```
data_Sn4SbAs2
_chemical_formula_sum 'Sn8 Sb2 As4'
_symmetry_space_group_name_H-M 'P 1'
_symmetry_Int_Tables_number 1
_symmetry_space_group_name_Hall 'P 1'
_cell_length_a 5.902
_cell_length_b 5.902
_cell_length_c 12.570
_cell_angle_alpha 90.00
_cell_angle_beta 90.00
_cell_angle_gamma 90.00
loop_
_atom_site_label
_atom_site_type_symbol
_atom_site_fract_x
_atom_site_fract_y
_atom_site_fract_z
Sn1 Sn 0.189 0.189 0.115
Sn2 Sn 0.189 0.811 0.885
Sn3 Sn 0.311 0.311 0.615
Sn4 Sn 0.311 0.689 0.385
Sn5 Sn 0.689 0.311 0.385
Sn6 Sn 0.689 0.689 0.615
Sn7 Sn 0.811 0.189 0.885
Sn8 Sn 0.811 0.811 0.115
Sb1 Sb 0.000 0.000 0.500
Sb2 Sb 0.500 0.500 0.000
As1 As 0.000 0.500 0.250
As2 As 0.000 0.500 0.750
As3 As 0.500 0.000 0.250
As4 As 0.500 0.000 0.750
```

***

# 8
VASP calculation (PBE-GGA) on a relaxed HfRhS crystal.

Summary:
* V: 16.804 Å³ per atom
* raw formation energy: -0.651 eV per atom

The structure in CIF format:
```
data_HfRhS
_chemical_formula_sum 'Hf4 Rh4 S4'
_symmetry_space_group_name_H-M 'P 1'
_symmetry_Int_Tables_number 1
_symmetry_space_group_name_Hall 'P 1'
_cell_length_a 7.608
_cell_length_b 7.608
_cell_length_c 3.484
_cell_angle_alpha 90.00
_cell_angle_beta 90.00
_cell_angle_gamma 90.00
loop_
_atom_site_label
_atom_site_type_symbol
_atom_site_fract_x
_atom_site_fract_y
_atom_site_fract_z
Hf1 Hf 0.045 0.752 0.000
Hf2 Hf 0.248 0.045 0.500
Hf3 Hf 0.752 0.955 0.500
Hf4 Hf 0.955 0.248 0.000
Rh1 Rh 0.318 0.645 0.500
Rh2 Rh 0.355 0.318 0.000
Rh3 Rh 0.645 0.682 0.000
Rh4 Rh 0.682 0.355 0.500
S1 S 0.157 0.391 0.500
S2 S 0.391 0.843 0.000
S3 S 0.609 0.157 0.000
S4 S 0.843 0.609 0.500
```

***

# 9
VASP calculation (PBE-GGA) on a relaxed MnFe3 crystal.

Summary:
* V: 11.504 Å³ per atom
* energy of formation: 0.0680 eV/atom

The structure in CIF format:
```
data_MnFe3
_chemical_formula_sum 'Mn2 Fe6'
_symmetry_space_group_name_H-M 'P 1'
_symmetry_Int_Tables_number 1
_symmetry_space_group_name_Hall 'P 1'
_cell_length_a 4.515
_cell_length_b 4.515
_cell_length_c 4.515
_cell_angle_alpha 90.00
_cell_angle_beta 90.00
_cell_angle_gamma 90.00
loop_
_atom_site_label
_atom_site_type_symbol
_atom_site_fract_x
_atom_site_fract_y
_atom_site_fract_z
Mn1 Mn 0.000 0.000 0.000
Mn2 Mn 0.500 0.500 0.500
Fe1 Fe 0.000 0.250 0.500
Fe2 Fe 0.000 0.750 0.500
Fe3 Fe 0.250 0.500 0.000
Fe4 Fe 0.500 0.000 0.250
Fe5 Fe 0.500 0.000 0.750
Fe6 Fe 0.750 0.500 0.000
```

***

# 10
VASP calculation (PBE-GGA) on a relaxed FePt2Au crystal.

Summary:
* polymorph energy (0 for the lowest one): 100 meV per atom
* V: 15.463 Å³ per atom
* energy of formation: -0.0417 eV/atom

The structure in CIF format:
```
data_FePt2Au
_chemical_formula_sum 'Fe3 Pt6 Au3'
_symmetry_space_group_name_H-M 'P 1'
_symmetry_Int_Tables_number 1
_symmetry_space_group_name_Hall 'P 1'
_cell_length_a 2.800
_cell_length_b 2.800
_cell_length_c 27.330
_cell_angle_alpha 90.00
_cell_angle_beta 90.00
_cell_angle_gamma 120.00
loop_
_atom_site_label
_atom_site_type_symbol
_atom_site_fract_x
_atom_site_fract_y
_atom_site_fract_z
Fe1 Fe 0.000 0.000 0.000
Fe2 Fe 0.333 0.667 0.667
Fe3 Fe 0.667 0.333 0.333
Pt1 Pt 0.000 0.000 0.258
Pt2 Pt 0.000 0.000 0.503
Pt3 Pt 0.333 0.667 0.170
Pt4 Pt 0.333 0.667 0.924
Pt5 Pt 0.667 0.333 0.591
Pt6 Pt 0.667 0.333 0.837
Au1 Au 0.000 0.000 0.748
Au2 Au 0.333 0.667 0.415
Au3 Au 0.667 0.333 0.081
```

***

# 11
VASP calculation (PBE-GGA) on a relaxed TcSbAsS2 crystal.

Summary:
* polymorph energy (0 for the lowest one): 0 meV per atom
* V: 21.656 Å³ per atom
* raw formation energy: 0.287 eV per atom

The structure in CIF format:
```
data_TcSbAsS2
_chemical_formula_sum 'Tc1 Sb1 As1 S2'
_symmetry_space_group_name_H-M 'P 1'
_symmetry_Int_Tables_number 1
_symmetry_space_group_name_Hall 'P 1'
_cell_length_a 4.482
_cell_length_b 4.482
_cell_length_c 5.391
_cell_angle_alpha 90.00
_cell_angle_beta 90.00
_cell_angle_gamma 90.00
loop_
_atom_site_label
_atom_site_type_symbol
_atom_site_fract_x
_atom_site_fract_y
_atom_site_fract_z
Tc1 Tc 0.000 0.000 0.000
Sb1 Sb 0.500 0.500 0.500
As1 As 0.000 0.000 0.500
S1 S 0.000 0.500 0.000
S2 S 0.500 0.000 0.000
```

***

# 12
VASP calculation (PBE-GGA) on a relaxed Ba2NaGaRh crystal.

Summary:
* V: 37.011 Å³ per atom
* energy of formation: -0.2430 eV/atom

The structure in CIF format:
```
data_Ba2NaGaRh
_chemical_formula_sum 'Ba2 Na1 Ga1 Rh1'
_symmetry_space_group_name_H-M 'P 1'
_symmetry_Int_Tables_number 1
_symmetry_space_group_name_Hall 'P 1'
_cell_length_a 6.126
_cell_length_b 6.126
_cell_length_c 4.931
_cell_angle_alpha 90.00
_cell_angle_beta 90.00
_cell_angle_gamma 90.00
loop_
_atom_site_label
_atom_site_type_symbol
_atom_site_fract_x
_atom_site_fract_y
_atom_site_fract_z
Ba1 Ba 0.000 0.500 0.000
Ba2 Ba 0.500 0.000 0.000
Na1 Na 0.000 0.000 0.500
Ga1 Ga 0.500 0.500 0.500
Rh1 Rh 0.500 0.500 0.000
```